A) Computed, not measured: a relaxed RbH2N crystal at the PBE-GGA level of DFT.

Cell: 6.1303 6.1303 6.1303 Å, 90.00 90.00 90.00°
Space group Fm-3m (No. 225)
One atom of each set of equivalent atoms:
Rb (0.0000, 0.0000, 0.0000) [4 per cell]
H (0.2500, 0.2500, 0.2500) [8 per cell]
N (0.0000, 0.0000, 0.5000) [4 per cell]

Values from the calculation:
The calculation puts the density of states at the Fermi level at 0.81 states/eV/atom. As for the crystal system: cubic.


B) Computed, not measured: a relaxed RbH2N crystal at the PBE-GGA level of DFT.

Cell: 4.1454 2.7303 4.4830 Å, 90.00 90.15 90.00°
Space group P2/m (No. 10)
One atom of each set of equivalent atoms:
Rb (0.0000, 0.0000, 0.0000) [1 per cell]
H (0.3666, 0.5000, 0.5025) [2 per cell]
N (0.5000, 0.0000, 0.5000) [1 per cell]

Values from the calculation:
As for the crystal system: monoclinic.


C) Computed, not measured: a relaxed RbH2N crystal at the PBE-GGA level of DFT.

Cell: 4.7974 4.7974 6.8408 Å, 90.00 90.00 90.00°
Space group I4_1/amd (No. 141, origin choice 2)
One atom of each set of equivalent atoms:
Rb (0.0000, 0.2500, 0.3750) [4 per cell]
H (0.0000, 0.0000, 0.0000) [8 per cell]
N (0.0000, 0.2500, 0.8750) [4 per cell]

Values from the calculation:
The calculation puts the density of states at the Fermi level at 0.00 states/eV/atom. As for the crystal system: tetragonal.


Stability verdict: C), ahead by 443 meV per atom


A) Computed, not measured: a relaxed Rb2H4N crystal at the PBE-GGA level of DFT.

Cell: 8.7592 4.2373 9.7649 Å, 90.00 112.48 90.00°
Space group P2_1/m (No. 11)
One atom of each set of equivalent atoms:
Rb (0.2079, 0.2500, 0.4385) [2 per cell]
Rb (0.2277, 0.7500, 0.0370) [2 per cell]
H (0.0137, 0.2500, 0.8081) [2 per cell]
H (0.1436, 0.5554, 0.7209) [4 per cell]
H (0.3078, 0.7500, 0.7219) [2 per cell]
N (0.1803, 0.7500, 0.6765) [2 per cell]

Values from the calculation:
The calculation puts the density of states at the Fermi level at 0.24 states/eV/atom. As for the crystal system: monoclinic.


B) Computed, not measured: a relaxed Rb2H4N crystal at the PBE-GGA level of DFT.

Cell: 7.6957 9.5158 5.7289 Å, 90.00 132.19 90.00°
Space group Cm (No. 8)
One atom of each set of equivalent atoms:
Rb (0.0000, 0.2497, 0.0000) [4 per cell]
H (0.0705, 0.0000, 0.4359) [2 per cell]
H (0.3651, 0.5000, 0.4340) [2 per cell]
H (0.4964, 0.2505, 0.4927) [4 per cell]
N (0.3897, 0.5000, 0.2779) [2 per cell]

Values from the calculation:
As for the crystal system: monoclinic.


Stability verdict: A), ahead by 289 meV per atom


A) Computed, not measured: a relaxed RbH3N crystal at the PBE-GGA level of DFT.

Cell: 3.5136 3.5136 3.5136 Å, 90.00 90.00 90.00°
Space group Pm-3m (No. 221)
One atom of each set of equivalent atoms:
Rb (0.0000, 0.0000, 0.0000) [1 per cell]
H (0.0000, 0.5000, 0.5000) [3 per cell]
N (0.5000, 0.5000, 0.5000) [1 per cell]

Values from the calculation:
The calculation puts the density of states at the Fermi level at 0.16 states/eV/atom. As for the crystal system: cubic.


B) Computed, not measured: a relaxed RbH3N crystal at the PBE-GGA level of DFT.

Cell: 8.4906 8.4906 6.9274 Å, 90.00 90.00 120.00°
Space group R3m (No. 160, hexagonal axes)
One atom of each set of equivalent atoms:
Rb (0.0000, 0.0000, 0.0000) [3 per cell]
H (0.1295, 0.0647, 0.4835) [9 per cell]
N (0.0000, 0.0000, 0.4268) [3 per cell]

Values from the calculation:
The calculation puts the density of states at the Fermi level at 0.21 states/eV/atom. As for the crystal system: trigonal.


Stability verdict: B), ahead by 1171 meV per atom


A) Computed, not measured: a relaxed RbHN crystal at the PBE-GGA level of DFT.

Cell: 3.7694 3.9741 3.9847 Å, 105.92 91.67 90.40°
Space group P1 (No. 1)
One atom of each set of equivalent atoms:
Rb (0.0000, 0.0000, 0.0000) [1 per cell]
H (0.4970, 0.5307, 0.4700) [1 per cell]
N (0.4983, 0.3650, 0.6334) [1 per cell]

Values from the calculation:
The calculation puts the density of states at the Fermi level at 0.34 states/eV/atom. As for the crystal system: triclinic.


B) Computed, not measured: a relaxed RbHN crystal at the PBE-GGA level of DFT.

Cell: 4.4966 3.7953 8.4371 Å, 90.00 102.91 90.00°
Space group P2_1/m (No. 11)
One atom of each set of equivalent atoms:
Rb (0.1361, 0.2500, 0.2021) [2 per cell]
H (0.3825, 0.2500, 0.8703) [2 per cell]
N (0.4504, 0.7500, 0.0231) [2 per cell]

Values from the calculation:
The calculation puts the density of states at the Fermi level at 0.19 states/eV/atom. As for the crystal system: monoclinic.


C) Computed, not measured: a relaxed RbHN crystal at the PBE-GGA level of DFT.

Cell: 10.2394 4.1535 8.3078 Å, 90.00 92.45 90.00°
Space group P2_1/c (No. 14)
One atom of each set of equivalent atoms:
Rb (0.1494, 0.2482, 0.1329) [4 per cell]
H (0.1431, 0.7501, 0.3821) [4 per cell]
N (0.4557, 0.0494, 0.5280) [4 per cell]

Values from the calculation:
As for the crystal system: monoclinic.


Stability verdict: C), ahead by 354 meV per atom


A) Computed, not measured: a relaxed RbHS2N crystal at the PBE-GGA level of DFT.

Cell: 6.6890 6.6890 6.3608 Å, 90.00 90.00 90.00°
Space group P4/mmm (No. 123)
One atom of each set of equivalent atoms:
Rb (0.0000, 0.0000, 0.0000) [1 per cell]
H (0.5000, 0.5000, 0.5000) [1 per cell]
S (0.0000, 0.5000, 0.0000) [2 per cell]
N (0.0000, 0.0000, 0.5000) [1 per cell]

Values from the calculation:
The calculation puts the density of states at the Fermi level at 0.78 states/eV/atom. As for the crystal system: tetragonal.


B) Computed, not measured: a relaxed RbHS2N crystal at the PBE-GGA level of DFT.

Cell: 3.8893 3.8893 6.1806 Å, 90.00 90.00 90.00°
Space group P4/mmm (No. 123)
One atom of each set of equivalent atoms:
Rb (0.0000, 0.0000, 0.0000) [1 per cell]
H (0.5000, 0.5000, 0.5000) [1 per cell]
S (0.0000, 0.5000, 0.5000) [2 per cell]
N (0.5000, 0.5000, 0.0000) [1 per cell]

Values from the calculation:
The calculation puts the density of states at the Fermi level at 0.70 states/eV/atom. As for the crystal system: tetragonal.


Stability verdict: B), ahead by 818 meV per atom


A) Computed, not measured: a relaxed RbTa2HN crystal at the PBE-GGA level of DFT.

Cell: 3.9780 3.9780 5.5837 Å, 90.00 90.00 90.00°
Space group P4/mmm (No. 123)
One atom of each set of equivalent atoms:
Rb (0.0000, 0.0000, 0.0000) [1 per cell]
Ta (0.0000, 0.5000, 0.5000) [2 per cell]
H (0.0000, 0.0000, 0.5000) [1 per cell]
N (0.5000, 0.5000, 0.0000) [1 per cell]

Values from the calculation:
The calculation puts the density of states at the Fermi level at 0.90 states/eV/atom. As for the crystal system: tetragonal.


B) Computed, not measured: a relaxed RbTa2HN crystal at the PBE-GGA level of DFT.

Cell: 4.0714 4.0714 7.8261 Å, 90.00 90.00 90.00°
Space group P4/mmm (No. 123)
One atom of each set of equivalent atoms:
Rb (0.0000, 0.0000, 0.0000) [1 per cell]
Ta (0.0000, 0.5000, 0.5000) [2 per cell]
H (0.5000, 0.5000, 0.0000) [1 per cell]
N (0.5000, 0.5000, 0.5000) [1 per cell]

Values from the calculation:
The calculation puts the density of states at the Fermi level at 0.96 states/eV/atom. As for the crystal system: tetragonal.


Stability verdict: B), ahead by 1063 meV per atom


A) Computed, not measured: a relaxed RbTe2HN crystal at the PBE-GGA level of DFT.

Cell: 4.5144 4.5144 6.4616 Å, 90.00 90.00 90.00°
Space group P4/mmm (No. 123)
One atom of each set of equivalent atoms:
Rb (0.0000, 0.0000, 0.0000) [1 per cell]
Te (0.0000, 0.5000, 0.5000) [2 per cell]
H (0.5000, 0.5000, 0.5000) [1 per cell]
N (0.5000, 0.5000, 0.0000) [1 per cell]

Values from the calculation:
The calculation puts the density of states at the Fermi level at 0.69 states/eV/atom. As for the crystal system: tetragonal.


B) Computed, not measured: a relaxed RbTe2HN crystal at the PBE-GGA level of DFT.

Cell: 7.2905 7.2905 5.9594 Å, 90.00 90.00 90.00°
Space group P4/mmm (No. 123)
One atom of each set of equivalent atoms:
Rb (0.0000, 0.0000, 0.0000) [1 per cell]
Te (0.0000, 0.5000, 0.0000) [2 per cell]
H (0.5000, 0.5000, 0.5000) [1 per cell]
N (0.0000, 0.0000, 0.5000) [1 per cell]

Values from the calculation:
The calculation puts the density of states at the Fermi level at 1.54 states/eV/atom. As for the crystal system: tetragonal.


Stability verdict: A), ahead by 990 meV per atom


A) Computed, not measured: a relaxed ReHN2 crystal at the PBE-GGA level of DFT.

Cell: 2.9074 2.9074 14.8675 Å, 90.00 90.00 120.00°
Space group R-3m (No. 166, hexagonal axes)
One atom of each set of equivalent atoms:
Re (0.0000, 0.0000, 0.0000) [3 per cell]
H (0.0000, 0.0000, 0.5000) [3 per cell]
N (0.0000, 0.0000, 0.4145) [6 per cell]

Values from the calculation:
The calculation puts the density of states at the Fermi level at 0.19 states/eV/atom. As for the crystal system: trigonal.


B) Computed, not measured: a relaxed ReHN2 crystal at the PBE-GGA level of DFT.

Cell: 2.8254 2.8254 15.5477 Å, 90.00 90.00 120.00°
Space group R-3m (No. 166, hexagonal axes)
One atom of each set of equivalent atoms:
Re (0.0000, 0.0000, 0.0000) [3 per cell]
H (0.0000, 0.0000, 0.5000) [3 per cell]
N (0.0000, 0.0000, 0.1203) [6 per cell]

Values from the calculation:
The calculation puts the density of states at the Fermi level at 0.48 states/eV/atom. As for the crystal system: trigonal.


Stability verdict: A), ahead by 1508 meV per atom


A) Computed, not measured: a relaxed ReH2N crystal at the PBE-GGA level of DFT.

Cell: 5.0040 5.0040 4.3945 Å, 90.00 90.00 90.00°
Space group I4_1/amd (No. 141, origin choice 2)
One atom of each set of equivalent atoms:
Re (0.0000, 0.2500, 0.3750) [4 per cell]
H (0.0000, 0.0000, 0.0000) [8 per cell]
N (0.0000, 0.2500, 0.8750) [4 per cell]

Values from the calculation:
The calculation puts the density of states at the Fermi level at 0.19 states/eV/atom. As for the crystal system: tetragonal.


B) Computed, not measured: a relaxed ReH2N crystal at the PBE-GGA level of DFT.

Cell: 2.7445 2.7445 12.8274 Å, 90.00 90.00 120.00°
Space group R-3m (No. 166, hexagonal axes)
One atom of each set of equivalent atoms:
Re (0.0000, 0.0000, 0.0000) [3 per cell]
H (0.0000, 0.0000, 0.1424) [6 per cell]
N (0.0000, 0.0000, 0.5000) [3 per cell]

Values from the calculation:
The calculation puts the density of states at the Fermi level at 0.38 states/eV/atom. As for the crystal system: trigonal.


Stability verdict: A), ahead by 423 meV per atom


A) Computed, not measured: a relaxed Re2HN crystal at the PBE-GGA level of DFT.

Cell: 4.2891 4.2891 9.2495 Å, 90.00 90.00 90.00°
Space group I-42d (No. 122)
One atom of each set of equivalent atoms:
Re (0.2177, 0.2500, 0.1250) [8 per cell]
H (0.0000, 0.0000, 0.0000) [4 per cell]
N (0.0000, 0.0000, 0.5000) [4 per cell]

Values from the calculation:
The calculation puts the density of states at the Fermi level at 0.68 states/eV/atom. As for the crystal system: tetragonal.


B) Computed, not measured: a relaxed Re2HN crystal at the PBE-GGA level of DFT.

Cell: 5.3981 5.3981 5.3981 Å, 90.00 90.00 90.00°
Space group Fm-3m (No. 225)
One atom of each set of equivalent atoms:
Re (0.2500, 0.2500, 0.2500) [8 per cell]
H (0.0000, 0.0000, 0.0000) [4 per cell]
N (0.0000, 0.0000, 0.5000) [4 per cell]

Values from the calculation:
The calculation puts the density of states at the Fermi level at 0.85 states/eV/atom. As for the crystal system: cubic.


Stability verdict: A), ahead by 802 meV per atom


A) Computed, not measured: a relaxed ReHSe2N crystal at the PBE-GGA level of DFT.

Cell: 4.9911 4.9911 3.7411 Å, 90.00 90.00 90.00°
Space group P4/mmm (No. 123)
One atom of each set of equivalent atoms:
Re (0.0000, 0.0000, 0.0000) [1 per cell]
H (0.5000, 0.5000, 0.5000) [1 per cell]
Se (0.0000, 0.5000, 0.0000) [2 per cell]
N (0.0000, 0.0000, 0.5000) [1 per cell]

Values from the calculation:
The calculation puts the density of states at the Fermi level at 0.64 states/eV/atom. As for the crystal system: tetragonal.


B) Computed, not measured: a relaxed ReHSe2N crystal at the PBE-GGA level of DFT.

Cell: 4.7588 4.7588 2.7595 Å, 90.00 90.00 90.00°
Space group P4/mmm (No. 123)
One atom of each set of equivalent atoms:
Re (0.0000, 0.0000, 0.0000) [1 per cell]
H (0.5000, 0.5000, 0.5000) [1 per cell]
Se (0.0000, 0.5000, 0.5000) [2 per cell]
N (0.5000, 0.5000, 0.0000) [1 per cell]

Values from the calculation:
The calculation puts the density of states at the Fermi level at 0.83 states/eV/atom. As for the crystal system: tetragonal.


Stability verdict: A), ahead by 543 meV per atom


A) Computed, not measured: a relaxed ReTe2HN crystal at the PBE-GGA level of DFT.

Cell: 5.0967 5.0967 2.8670 Å, 90.00 90.00 90.00°
Space group P4/mmm (No. 123)
One atom of each set of equivalent atoms:
Re (0.0000, 0.0000, 0.0000) [1 per cell]
Te (0.0000, 0.5000, 0.5000) [2 per cell]
H (0.5000, 0.5000, 0.5000) [1 per cell]
N (0.5000, 0.5000, 0.0000) [1 per cell]

Values from the calculation:
The calculation puts the density of states at the Fermi level at 1.09 states/eV/atom. As for the crystal system: tetragonal.


B) Computed, not measured: a relaxed ReTe2HN crystal at the PBE-GGA level of DFT.

Cell: 5.3689 5.3689 3.7232 Å, 90.00 90.00 90.00°
Space group P4/mmm (No. 123)
One atom of each set of equivalent atoms:
Re (0.0000, 0.0000, 0.0000) [1 per cell]
Te (0.0000, 0.5000, 0.0000) [2 per cell]
H (0.5000, 0.5000, 0.5000) [1 per cell]
N (0.0000, 0.0000, 0.5000) [1 per cell]

Values from the calculation:
The calculation puts the density of states at the Fermi level at 0.44 states/eV/atom. As for the crystal system: tetragonal.


Stability verdict: B), ahead by 586 meV per atom